! Sc6C3Cl2 | Alexandria via LeMat-Bulk | PBE | relaxed; values from VASP
&SYSTEM
  ibrav = 0, nat = 11, ntyp = 3
/
ATOMIC_SPECIES
Sc 44.96 Sc.upf
C 12.01 C.upf
Cl 35.45 Cl.upf
CELL_PARAMETERS angstrom
2.952 -5.111 0.000
2.952 5.111 0.000
-1.970 0.000 6.041
ATOMIC_POSITIONS crystal
Sc 0.102 0.429 0.805
Sc 0.225 0.225 0.195
Sc 0.429 0.102 0.805
Sc 0.571 0.898 0.195
Sc 0.775 0.775 0.805
Sc 0.898 0.571 0.195
C 0.169 0.831 0.000
C 0.500 0.500 0.000
C 0.831 0.169 0.000
Cl 0.334 0.666 0.500
Cl 0.666 0.334 0.500
! Uncorrected formation energy (meV/atom): -963